A plane-wave DFT calculation with PBE was carried out for a geometry-optimized Na2CdInF8 structure.

Unit cell a=3.780 b=5.576 c=7.571 alpha=90.00 beta=90.00 gamma=90.07
Atoms (fractional coordinates):
1 Na 0.500 0.500 0.751
2 Na 0.500 0.500 0.249
3 Cd 0.000 0.000 0.500
4 In 0.000 0.000 0.000
5 F 0.001 0.767 0.233
6 F 0.501 0.775 0.000
7 F 0.999 0.233 0.233
8 F 0.999 0.233 0.767
9 F 0.499 0.225 0.000
10 F 0.001 0.767 0.767
11 F 0.501 0.761 0.500
12 F 0.499 0.239 0.500

Values from the calculation:
The calculation puts the energy relative to the elements, uncorrected at -2.2880 eV/atom. The space group is P2/m.